1.
Compound: TaTiZn3
Source: the Alexandria database
Functional: GGA-PBE
Structure: relaxed

Unit cell a=4.8502 b=4.8502 c=4.8502 alpha=90.00 beta=90.00 gamma=90.00
Space group Pm-3m (No. 221)
Symmetry-distinct sites (fractional):
Ta 0.0000 0.0000 0.0000
Ti 0.5000 0.5000 0.5000
Zn 0.0000 0.0000 0.5000

Properties
The value obtained for the total energy is -3.46 eV per atom. For the total magnetization, the calculation gives 0.0 μB per cell.


2.
Compound: TaTi6Zn5
Source: the Alexandria database
Functional: GGA-PBE
Structure: relaxed

Unit cell a=4.5127 b=6.2858 c=13.5085 alpha=90.00 beta=90.00 gamma=90.00
Space group Immm (No. 71)
Symmetry-distinct sites (fractional):
Ta 0.0000 0.0000 0.0000
Ti 0.0000 0.2484 0.5000
Ti 0.0000 0.2493 0.1663
Zn 0.0000 0.0000 0.3324
Zn 0.0000 0.5000 0.0000
Zn 0.0000 0.5000 0.3367

Properties
The value obtained for the total energy is -5.61 eV per atom. For the total magnetization, the calculation gives 0.0 μB per cell.


3.
Compound: TaTiZn
Source: the Alexandria database
Functional: GGA-PBE
Structure: relaxed

Unit cell a=3.2125 b=17.7770 c=3.5696 alpha=90.00 beta=90.00 gamma=90.00
Space group Cmcm (No. 63)
Symmetry-distinct sites (fractional):
Ta 0.0000 0.2059 0.2500
Ti 0.0000 0.3826 0.2500
Zn 0.0000 0.0456 0.2500

Properties
The value obtained for the total energy is -7.02 eV per atom. For the total magnetization, the calculation gives 0.0 μB per cell.


4.
Compound: TaTi4Zn3
Source: the Alexandria database
Functional: GGA-PBE
Structure: relaxed

Unit cell a=3.1842 b=3.1842 c=12.7562 alpha=90.00 beta=90.00 gamma=90.00
Space group P4/mmm (No. 123)
Symmetry-distinct sites (fractional):
Ta 0.0000 0.0000 0.0000
Ti 0.5000 0.5000 0.1309
Ti 0.5000 0.5000 0.3783
Zn 0.0000 0.0000 0.2557
Zn 0.0000 0.0000 0.5000

Properties
The value obtained for the total energy is -6.03 eV per atom. For the total magnetization, the calculation gives 0.0 μB per cell.